Entry 1:
Entry from Alexandria: crystalline Ba2LiCoBr at its relaxed geometry (GGA-PBE).

N(E_F): 6.01 states/eV/f.u.
total moment: 0.00 μB/cell
formation energy (no corrections): -0.01 eV per atom

abc: 6.109 6.109 4.657
angles: 90.00 90.00 90.00
Space group P4/mmm (No. 123)
One atom of each set of equivalent atoms:
Ba1 0.000 0.500 0.000 [2 per cell]
Li1 0.000 0.000 0.500 [1 per cell]
Co1 0.500 0.500 0.000 [1 per cell]
Br1 0.500 0.500 0.500 [1 per cell]



Entry 2:
Entry from Alexandria: crystalline Ca2HoTcO6 at its relaxed geometry (GGA-PBE).

total moment: 0.00 μB/cell
formation energy (no corrections): -2.46 eV per atom

abc: 5.556 5.556 4.885
angles: 90.00 90.00 90.00
Space group P4mm (No. 99)
One atom of each set of equivalent atoms:
Ca1 0.000 0.500 0.000 [2 per cell]
Ho1 0.000 0.000 0.603 [1 per cell]
Tc1 0.500 0.500 0.586 [1 per cell]
O1 0.000 0.000 0.169 [1 per cell]
O2 0.269 0.269 0.738 [4 per cell]
O3 0.500 0.500 0.230 [1 per cell]



Entry 3:
Entry from Alexandria: crystalline InSiSn3 at its relaxed geometry (GGA-PBE).

N(E_F): 3.92 states/eV/f.u.
total moment: 0.00 μB/cell
formation energy (no corrections): 0.42 eV per atom
ΔE to the lowest computed polymorph: 0.0 meV/atom

abc: 5.263 5.263 5.263
angles: 90.00 90.00 90.00
Space group Pm-3m (No. 221)
One atom of each set of equivalent atoms:
In1 0.000 0.000 0.000 [1 per cell]
Si1 0.500 0.500 0.500 [1 per cell]
Sn1 0.000 0.500 0.500 [3 per cell]



Entry 4:
Entry from Alexandria: crystalline KCo5Se8 at its relaxed geometry (GGA-PBE).

N(E_F): 8.98 states/eV/f.u.
total moment: 0.00 μB/cell
formation energy (no corrections): -0.38 eV per atom

abc: 18.349 3.594 8.325
angles: 90.00 105.25 90.00
Space group Cm (No. 8)
One atom of each set of equivalent atoms:
K1 0.000 0.000 0.000 [2 per cell]
Co1 0.159 0.000 0.484 [2 per cell]
Co2 0.204 0.000 0.818 [2 per cell]
Co3 0.294 0.500 0.184 [2 per cell]
Co4 0.340 0.500 0.517 [2 per cell]
Co5 0.499 0.000 0.501 [2 per cell]
Se1 0.073 0.000 0.651 [2 per cell]
Se2 0.088 0.500 0.337 [2 per cell]
Se3 0.176 0.500 0.981 [2 per cell]
Se4 0.239 0.500 0.653 [2 per cell]
Se5 0.260 0.000 0.347 [2 per cell]
Se6 0.323 0.000 0.019 [2 per cell]
Se7 0.411 0.000 0.664 [2 per cell]
Se8 0.426 0.500 0.348 [2 per cell]



Entry 5:
Entry from Alexandria: crystalline SrNiBr4 at its relaxed geometry (GGA-PBE).

N(E_F): 1.55 states/eV/f.u.
total moment: 0.27 μB/cell
formation energy (no corrections): -1.13 eV per atom
ΔE to the lowest computed polymorph: 0.0 meV/atom

abc: 7.194 7.194 7.799
angles: 90.00 90.00 90.00
Space group I-4 (No. 82)
One atom of each set of equivalent atoms:
Sr1 0.000 0.000 0.000 [2 per cell]
Ni1 0.000 0.500 0.750 [2 per cell]
Br1 0.229 0.269 0.749 [8 per cell]



Entry 6:
Entry from Alexandria: crystalline CsCaN3 at its relaxed geometry (GGA-PBE).

N(E_F): 1.91 states/eV/f.u.
total moment: 0.00 μB/cell
formation energy (no corrections): 2.03 eV per atom

abc: 4.329 4.329 4.329
angles: 90.00 90.00 90.00
Space group Pm-3m (No. 221)
One atom of each set of equivalent atoms:
Cs1 0.000 0.000 0.000 [1 per cell]
Ca1 0.500 0.500 0.500 [1 per cell]
N1 0.000 0.000 0.500 [3 per cell]



Entry 7:
Entry from Alexandria: crystalline NaAgTeI2 at its relaxed geometry (GGA-PBE).

N(E_F): 4.66 states/eV/f.u.
total moment: 1.08 μB/cell
formation energy (no corrections): -0.18 eV per atom
ΔE to the lowest computed polymorph: 0.0 meV/atom

abc: 5.898 5.898 5.477
angles: 90.00 90.00 90.00
Space group P4/mmm (No. 123)
One atom of each set of equivalent atoms:
Na1 0.000 0.000 0.000 [1 per cell]
Ag1 0.500 0.500 0.500 [1 per cell]
Te1 0.500 0.500 0.000 [1 per cell]
I1 0.000 0.500 0.500 [2 per cell]



Entry 8:
Entry from Alexandria: crystalline Ca2Sn5Hg12 at its relaxed geometry (GGA-PBE).

N(E_F): 5.35 states/eV/f.u.
formation enthalpy at 0 K: -0.1084 eV per atom
total moment: 0.00 μB/cell

abc: 17.434 10.184 5.860
angles: 90.00 102.88 90.00
Space group C2/m (No. 12)
One atom of each set of equivalent atoms:
Ca1 0.000 0.214 0.000 [4 per cell]
Sn1 0.000 0.000 0.500 [2 per cell]
Sn2 0.177 0.500 0.824 [4 per cell]
Sn3 0.203 0.000 0.506 [4 per cell]
Hg1 0.039 0.500 0.263 [4 per cell]
Hg2 0.100 0.258 0.579 [8 per cell]
Hg3 0.132 0.000 0.976 [4 per cell]
Hg4 0.193 0.284 0.194 [8 per cell]



Entry 9:
Entry from Alexandria: crystalline Rb2AgSCl6 at its relaxed geometry (GGA-PBE).

N(E_F): 2.73 states/eV/f.u.
total moment: 2.71 μB/cell
formation energy (no corrections): -0.91 eV per atom

abc: 10.212 10.234 11.012
angles: 90.00 90.00 90.00
Space group Fmmm (No. 69)
One atom of each set of equivalent atoms:
Rb1 0.250 0.250 0.250 [8 per cell]
Ag1 0.000 0.000 0.000 [4 per cell]
S1 0.000 0.000 0.500 [4 per cell]
Cl1 0.000 0.000 0.221 [8 per cell]
Cl2 0.000 0.228 0.500 [8 per cell]
Cl3 0.228 0.000 0.500 [8 per cell]



Entry 10:
Entry from Alexandria: crystalline GaIr3Au at its relaxed geometry (GGA-PBE).

N(E_F): 7.81 states/eV/f.u.
formation enthalpy at 0 K: 1.3634 eV per atom
total moment: 1.02 μB/cell
ΔE to the lowest computed polymorph: 0.0 meV/atom

abc: 4.547 4.547 4.547
angles: 90.00 90.00 90.00
Space group Pm-3m (No. 221)
One atom of each set of equivalent atoms:
Ga1 0.000 0.000 0.000 [1 per cell]
Ir1 0.000 0.000 0.500 [3 per cell]
Au1 0.500 0.500 0.500 [1 per cell]



Entry 11:
Entry from Alexandria: crystalline RbZn2CdCl8 at its relaxed geometry (GGA-PBE).

N(E_F): 18.62 states/eV/f.u.
total moment: 2.86 μB/cell
formation energy (no corrections): -1.09 eV per atom

abc: 6.4700 6.4700 27.6625
angles: 90.00 90.00 120.00
Space group R-3 (No. 148, hexagonal axes)
One atom of each set of equivalent atoms:
Rb1 0.0000 0.0000 0.0000 [3 per cell]
Zn1 0.0000 0.0000 0.2457 [6 per cell]
Cd1 0.0000 0.0000 0.5000 [3 per cell]
Cl1 0.0000 0.0000 0.3281 [6 per cell]
Cl2 0.0031 0.6758 0.1103 [18 per cell]



Entry 12:
Entry from Alexandria: crystalline SmPd2Au3 at its relaxed geometry (GGA-PBE).

N(E_F): 2.18 states/eV/f.u.
formation enthalpy at 0 K: -0.4727 eV per atom
total moment: 0.00 μB/cell

abc: 15.955 4.477 6.599
angles: 90.00 93.27 90.00
Space group C2/m (No. 12)
One atom of each set of equivalent atoms:
Sm1 0.139 0.000 0.219 [4 per cell]
Pd1 0.034 0.500 0.313 [4 per cell]
Pd2 0.233 0.000 0.844 [4 per cell]
Au1 0.072 0.000 0.641 [4 per cell]
Au2 0.112 0.500 0.925 [4 per cell]
Au3 0.191 0.500 0.549 [4 per cell]



Entry 13:
Entry from Alexandria: crystalline ScCoBr2 at its relaxed geometry (GGA-PBE).

N(E_F): 2.80 states/eV/f.u.
total moment: 2.04 μB/cell
formation energy (no corrections): -0.09 eV per atom
ΔE to the lowest computed polymorph: 573.1 meV/atom

abc: 3.815 3.815 10.974
angles: 90.00 90.00 90.00
Space group I-4m2 (No. 119)
One atom of each set of equivalent atoms:
Sc1 0.000 0.000 0.000 [2 per cell]
Co1 0.000 0.500 0.250 [2 per cell]
Br1 0.000 0.000 0.500 [2 per cell]
Br2 0.000 0.500 0.750 [2 per cell]



Entry 14:
Entry from Alexandria: crystalline SrAl2ZnAg4 at its relaxed geometry (GGA-PBE).

N(E_F): 4.05 states/eV/f.u.
formation enthalpy at 0 K: -0.1202 eV per atom
total moment: 0.00 μB/cell

abc: 4.5198 4.5198 27.8879
angles: 90.00 90.00 120.00
Space group R-3m (No. 166, hexagonal axes)
One atom of each set of equivalent atoms:
Sr1 0.0000 0.0000 0.0000 [3 per cell]
Al1 0.0000 0.0000 0.2401 [6 per cell]
Zn1 0.0000 0.0000 0.5000 [3 per cell]
Ag1 0.0000 0.0000 0.1342 [6 per cell]
Ag2 0.0000 0.0000 0.4065 [6 per cell]



Entry 15:
Entry from Alexandria: crystalline K2MgBr4 at its relaxed geometry (GGA-PBE).

N(E_F): 0.00 states/eV/f.u.
total moment: 0.00 μB/cell
formation energy (no corrections): -1.60 eV per atom

abc: 14.012 4.156 8.724
angles: 90.00 118.55 90.00
Space group C2/m (No. 12)
One atom of each set of equivalent atoms:
K1 0.153 0.000 0.181 [4 per cell]
Mg1 0.000 0.500 0.500 [2 per cell]
Br1 0.050 0.500 0.833 [4 per cell]
Br2 0.147 0.000 0.564 [4 per cell]



Entry 16:
Entry from Alexandria: crystalline Ba3Ac2PaAs6 at its relaxed geometry (GGA-PBE).

N(E_F): 14.85 states/eV/f.u.
formation enthalpy at 0 K: -1.1972 eV per atom
total moment: 0.00 μB/cell

abc: 7.864 13.631 8.013
angles: 90.00 109.22 90.00
Space group C2/m (No. 12)
One atom of each set of equivalent atoms:
Ba1 0.000 0.000 0.000 [2 per cell]
Ba2 0.000 0.330 0.000 [4 per cell]
Ac1 0.000 0.166 0.500 [4 per cell]
Pa1 0.000 0.500 0.500 [2 per cell]
As1 0.225 0.346 0.716 [8 per cell]
As2 0.233 0.500 0.284 [4 per cell]



Entry 17:
Entry from Alexandria: crystalline PaTeBr at its relaxed geometry (GGA-PBE).

N(E_F): 4.29 states/eV/f.u.
total moment: 3.92 μB/cell
formation energy (no corrections): -0.91 eV per atom
ΔE to the lowest computed polymorph: 0.0 meV/atom

abc: 6.994 4.085 7.536
angles: 90.00 91.08 90.00
Space group P2/m (No. 10)
One atom of each set of equivalent atoms:
Pa1 0.000 0.000 0.000 [1 per cell]
Pa2 0.500 0.500 0.000 [1 per cell]
Te1 0.170 0.500 0.263 [2 per cell]
Br1 0.331 0.000 0.757 [2 per cell]



Entry 18:
Entry from Alexandria: crystalline SiW3C at its relaxed geometry (GGA-PBE).

N(E_F): 1.92 states/eV/f.u.
total moment: 0.00 μB/cell
formation energy (no corrections): 0.34 eV per atom
ΔE to the lowest computed polymorph: 0.0 meV/atom

abc: 4.127 4.127 4.127
angles: 90.00 90.00 90.00
Space group Pm-3m (No. 221)
One atom of each set of equivalent atoms:
Si1 0.000 0.000 0.000 [1 per cell]
W1 0.000 0.500 0.500 [3 per cell]
C1 0.500 0.500 0.500 [1 per cell]



Entry 19:
Entry from Alexandria: crystalline Ce2ScPd9 at its relaxed geometry (GGA-PBE).

N(E_F): 7.44 states/eV/f.u.
formation enthalpy at 0 K: -0.8416 eV per atom
total moment: 0.61 μB/cell

abc: 4.111 4.111 12.285
angles: 90.00 90.00 90.00
Space group P4/mmm (No. 123)
One atom of each set of equivalent atoms:
Ce1 0.000 0.000 0.172 [2 per cell]
Sc1 0.000 0.000 0.500 [1 per cell]
Pd1 0.000 0.500 0.000 [2 per cell]
Pd2 0.000 0.500 0.340 [4 per cell]
Pd3 0.500 0.500 0.170 [2 per cell]
Pd4 0.500 0.500 0.500 [1 per cell]



Entry 20:
Entry from Alexandria: crystalline ZnGaPt at its relaxed geometry (GGA-PBE).

N(E_F): 0.75 states/eV/f.u.
formation enthalpy at 0 K: -0.4830 eV per atom
total moment: 0.00 μB/cell

abc: 8.342 3.582 6.713
angles: 90.00 103.50 90.00
Space group Cm (No. 8)
One atom of each set of equivalent atoms:
Zn1 0.000 0.000 0.000 [2 per cell]
Zn2 0.216 0.000 0.485 [2 per cell]
Ga1 0.170 0.500 0.787 [2 per cell]
Ga2 0.462 0.000 0.301 [2 per cell]
Pt1 0.233 0.500 0.178 [2 per cell]
Pt2 0.447 0.500 0.607 [2 per cell]



Entry 21:
Entry from Alexandria: crystalline SrLa2TcPt at its relaxed geometry (GGA-PBE).

N(E_F): 3.24 states/eV/f.u.
formation enthalpy at 0 K: 0.0111 eV per atom
total moment: 0.00 μB/cell

abc: 5.369 5.369 5.253
angles: 90.00 90.00 90.00
Space group P4/mmm (No. 123)
One atom of each set of equivalent atoms:
Sr1 0.000 0.000 0.000 [1 per cell]
La1 0.000 0.500 0.500 [2 per cell]
Tc1 0.500 0.500 0.500 [1 per cell]
Pt1 0.500 0.500 0.000 [1 per cell]



Entry 22:
Entry from Alexandria: crystalline Ce2Ga3Au at its relaxed geometry (GGA-PBE).

N(E_F): 13.06 states/eV/f.u.
formation enthalpy at 0 K: -0.6045 eV per atom
total moment: 2.86 μB/cell

abc: 4.066 4.406 15.333
angles: 90.00 90.00 90.00
Space group Imm2 (No. 44)
One atom of each set of equivalent atoms:
Ce1 0.000 0.000 0.000 [2 per cell]
Ce2 0.000 0.500 0.259 [2 per cell]
Ga1 0.000 0.000 0.422 [2 per cell]
Ga2 0.000 0.500 0.673 [2 per cell]
Ga3 0.000 0.500 0.835 [2 per cell]
Au1 0.000 0.000 0.589 [2 per cell]



Entry 23:
Entry from Alexandria: crystalline Rb2ZnBr4 at its relaxed geometry (GGA-PBE).

N(E_F): 0.00 states/eV/f.u.
total moment: 0.00 μB/cell
formation energy (no corrections): -1.33 eV per atom
ΔE to the lowest computed polymorph: 93.3 meV/atom

abc: 5.414 5.414 16.805
angles: 90.00 90.00 90.00
Space group I4/mmm (No. 139)
One atom of each set of equivalent atoms:
Rb1 0.000 0.000 0.138 [4 per cell]
Zn1 0.000 0.000 0.500 [2 per cell]
Br1 0.000 0.000 0.346 [4 per cell]
Br2 0.000 0.500 0.000 [4 per cell]



Entry 24:
Entry from Alexandria: crystalline Tc2SbAs at its relaxed geometry (GGA-PBE).

N(E_F): 3.96 states/eV/f.u.
total moment: 0.00 μB/cell
formation energy (no corrections): 0.18 eV per atom
ΔE to the lowest computed polymorph: 175.6 meV/atom

abc: 3.1377 3.1377 23.6175
angles: 90.00 90.00 120.00
Space group R-3m (No. 166, hexagonal axes)
One atom of each set of equivalent atoms:
Tc1 0.0000 0.0000 0.2433 [6 per cell]
Sb1 0.0000 0.0000 0.0000 [3 per cell]
As1 0.0000 0.0000 0.5000 [3 per cell]



| no. | density (g/cm3) |
| --- | --- |
| 1 | 4.0 |
| 2 | 4.8 |
| 3 | 5.7 |
| 4 | 6.1 |
| 5 | 3.8 |
| 6 | 4.4 |
| 7 | 4.5 |
| 8 | 10.1 |
| 9 | 3.0 |
| 10 | 14.9 |
| 11 | 3.0 |
| 12 | 13.5 |
| 13 | 5.5 |
| 14 | 6.4 |
| 15 | 3.1 |
| 16 | 6.3 |
| 17 | 6.8 |
| 18 | 14.0 |
| 19 | 10.3 |
| 20 | 11.2 |
| 21 | 7.2 |
| 22 | 8.3 |
| 23 | 3.7 |
| 24 | 9.7 |